1.
# SrTbAlTl | Alexandria via LeMat-Bulk | GGA-PBE | optimized geometry
data_SrTbAlTl
_chemical_formula_sum 'Sr4 Tb4 Al4 Tl4'
_symmetry_space_group_name_H-M 'F -4 3 m'
_symmetry_Int_Tables_number 216
_symmetry_space_group_name_Hall 'F -4 2 3'
_cell_length_a 7.732
_cell_length_b 7.732
_cell_length_c 7.732
_cell_angle_alpha 90.00
_cell_angle_beta 90.00
_cell_angle_gamma 90.00
loop_
_atom_site_label
_atom_site_type_symbol
_atom_site_fract_x
_atom_site_fract_y
_atom_site_fract_z
_atom_site_occupancy
Sr1 Sr 0.000 0.000 0.000 1
Tb1 Tb 0.000 0.000 0.500 1
Al1 Al 0.250 0.250 0.250 1
Tl1 Tl 0.250 0.250 0.750 1
# - DFT total energy (eV per atom) = -3.3329
# - Fermi-level density of states (states/eV/f.u.) = 3.05
# - crystal system = cubic
# - formation energy (eV/atom) = -0.2277

2.
# SrTbAlZn | Alexandria via LeMat-Bulk | GGA-PBE | optimized geometry
data_SrTbAlZn
_chemical_formula_sum 'Sr4 Tb4 Al4 Zn4'
_symmetry_space_group_name_H-M 'F -4 3 m'
_symmetry_Int_Tables_number 216
_symmetry_space_group_name_Hall 'F -4 2 3'
_cell_length_a 7.529
_cell_length_b 7.529
_cell_length_c 7.529
_cell_angle_alpha 90.00
_cell_angle_beta 90.00
_cell_angle_gamma 90.00
loop_
_atom_site_label
_atom_site_type_symbol
_atom_site_fract_x
_atom_site_fract_y
_atom_site_fract_z
_atom_site_occupancy
Sr1 Sr 0.000 0.000 0.000 1
Tb1 Tb 0.000 0.000 0.500 1
Al1 Al 0.250 0.250 0.250 1
Zn1 Zn 0.250 0.250 0.750 1
# - DFT total energy (eV per atom) = -3.0144
# - Fermi-level density of states (states/eV/f.u.) = 3.17
# - crystal system = cubic
# - formation energy (eV/atom) = -0.1822

3.
# SrAl10Tc2 | Alexandria via LeMat-Bulk | GGA-PBE | optimized geometry
data_SrAl10Tc2
_chemical_formula_sum 'Sr4 Al40 Tc8'
_symmetry_space_group_name_H-M 'C m c m'
_symmetry_Int_Tables_number 63
_symmetry_space_group_name_Hall '-C 2c 2'
_cell_length_a 9.197
_cell_length_b 10.428
_cell_length_c 9.378
_cell_angle_alpha 90.00
_cell_angle_beta 90.00
_cell_angle_gamma 90.00
loop_
_atom_site_label
_atom_site_type_symbol
_atom_site_fract_x
_atom_site_fract_y
_atom_site_fract_z
_atom_site_occupancy
Sr1 Sr 0.000 0.121 0.250 1
Al1 Al 0.000 0.164 0.601 1
Al2 Al 0.000 0.377 0.043 1
Al3 Al 0.154 0.375 0.750 1
Al4 Al 0.231 0.363 0.250 1
Al5 Al 0.233 0.000 0.000 1
Tc1 Tc 0.250 0.250 0.000 1
# - DFT total energy (eV per atom) = -4.9334
# - Fermi-level density of states (states/eV/f.u.) = 5.23
# - crystal system = orthorhombic
# - formation energy (eV/atom) = -0.3304

4.
# Sr2AlTc | Alexandria via LeMat-Bulk | GGA-PBE | optimized geometry
data_Sr2AlTc
_chemical_formula_sum 'Sr6 Al3 Tc3'
_symmetry_space_group_name_H-M 'R -3 m'
_symmetry_Int_Tables_number 166
_symmetry_space_group_name_Hall '-R 3 2"'
_cell_length_a 3.4876
_cell_length_b 3.4876
_cell_length_c 31.0569
_cell_angle_alpha 90.00
_cell_angle_beta 90.00
_cell_angle_gamma 120.00
loop_
_atom_site_label
_atom_site_type_symbol
_atom_site_fract_x
_atom_site_fract_y
_atom_site_fract_z
_atom_site_occupancy
Sr1 Sr 0.0000 0.0000 0.2440 1
Al1 Al 0.0000 0.0000 0.0000 1
Tc1 Tc 0.0000 0.0000 0.5000 1
# - DFT total energy (eV per atom) = -3.5796
# - Fermi-level density of states (states/eV/f.u.) = 3.36
# - crystal system = trigonal
# - formation energy (eV/atom) = 0.7885

5.
# Sr2AlTc | Alexandria via LeMat-Bulk | GGA-PBE | optimized geometry
data_Sr2AlTc
_chemical_formula_sum 'Sr2 Al1 Tc1'
_symmetry_space_group_name_H-M 'P 4/m m m'
_symmetry_Int_Tables_number 123
_symmetry_space_group_name_Hall '-P 4 2'
_cell_length_a 3.533
_cell_length_b 3.533
_cell_length_c 8.873
_cell_angle_alpha 90.00
_cell_angle_beta 90.00
_cell_angle_gamma 90.00
loop_
_atom_site_label
_atom_site_type_symbol
_atom_site_fract_x
_atom_site_fract_y
_atom_site_fract_z
_atom_site_occupancy
Sr1 Sr 0.000 0.000 0.236 1
Al1 Al 0.500 0.500 0.500 1
Tc1 Tc 0.500 0.500 0.000 1
# - DFT total energy (eV per atom) = -3.7520
# - Fermi-level density of states (states/eV/f.u.) = 3.89
# - crystal system = tetragonal
# - formation energy (eV/atom) = 0.6160

6.
# SrAl2Tc | Alexandria via LeMat-Bulk | GGA-PBE | optimized geometry
data_SrAl2Tc
_chemical_formula_sum 'Sr2 Al4 Tc2'
_symmetry_space_group_name_H-M 'C 1 m 1'
_symmetry_Int_Tables_number 8
_symmetry_space_group_name_Hall 'C -2y'
_cell_length_a 8.740
_cell_length_b 2.920
_cell_length_c 6.748
_cell_angle_alpha 90.00
_cell_angle_beta 96.23
_cell_angle_gamma 90.00
loop_
_atom_site_label
_atom_site_type_symbol
_atom_site_fract_x
_atom_site_fract_y
_atom_site_fract_z
_atom_site_occupancy
Sr1 Sr 0.000 0.000 0.000 1
Al1 Al 0.000 0.500 0.537 1
Al2 Al 0.255 0.500 0.345 1
Tc1 Tc 0.238 0.000 0.670 1
# - polymorph energy (0 for the lowest one) (kJ/mol of atoms) = 35.34
# - DFT total energy (eV per atom) = -4.6517
# - Fermi-level density of states (states/eV/f.u.) = 2.58
# - crystal system = monoclinic
# - formation energy (eV/atom) = 0.2315

7.
# SrAl2Tc | Alexandria via LeMat-Bulk | GGA-PBE | optimized geometry
data_SrAl2Tc
_chemical_formula_sum 'Sr2 Al4 Tc2'
_symmetry_space_group_name_H-M 'I 4/m m m'
_symmetry_Int_Tables_number 139
_symmetry_space_group_name_Hall '-I 4 2'
_cell_length_a 4.473
_cell_length_b 4.473
_cell_length_c 7.742
_cell_angle_alpha 90.00
_cell_angle_beta 90.00
_cell_angle_gamma 90.00
loop_
_atom_site_label
_atom_site_type_symbol
_atom_site_fract_x
_atom_site_fract_y
_atom_site_fract_z
_atom_site_occupancy
Sr1 Sr 0.000 0.000 0.000 1
Al1 Al 0.000 0.500 0.250 1
Tc1 Tc 0.000 0.000 0.500 1
# - polymorph energy (0 for the lowest one) (kJ/mol of atoms) = 38.16
# - DFT total energy (eV per atom) = -4.6225
# - Fermi-level density of states (states/eV/f.u.) = 3.35
# - crystal system = tetragonal
# - formation energy (eV/atom) = 0.2608

8.
# Sr2AlTc | Alexandria via LeMat-Bulk | GGA-PBE | optimized geometry
data_Sr2AlTc
_chemical_formula_sum 'Sr4 Al2 Tc2'
_symmetry_space_group_name_H-M 'I m m 2'
_symmetry_Int_Tables_number 44
_symmetry_space_group_name_Hall 'I 2 -2'
_cell_length_a 3.910
_cell_length_b 5.258
_cell_length_c 10.739
_cell_angle_alpha 90.00
_cell_angle_beta 90.00
_cell_angle_gamma 90.00
loop_
_atom_site_label
_atom_site_type_symbol
_atom_site_fract_x
_atom_site_fract_y
_atom_site_fract_z
_atom_site_occupancy
Sr1 Sr 0.000 0.000 0.000 1
Sr2 Sr 0.000 0.500 0.210 1
Al1 Al 0.000 0.500 0.784 1
Tc1 Tc 0.000 0.000 0.424 1
# - DFT total energy (eV per atom) = -4.0729
# - Fermi-level density of states (states/eV/f.u.) = 2.62
# - crystal system = orthorhombic
# - formation energy (eV/atom) = 0.2951

9.
# SrAl2Tc | Alexandria via LeMat-Bulk | GGA-PBE | optimized geometry
data_SrAl2Tc
_chemical_formula_sum 'Sr1 Al2 Tc1'
_symmetry_space_group_name_H-M 'P m m 2'
_symmetry_Int_Tables_number 25
_symmetry_space_group_name_Hall 'P 2 -2'
_cell_length_a 3.554
_cell_length_b 3.594
_cell_length_c 7.147
_cell_angle_alpha 90.00
_cell_angle_beta 90.00
_cell_angle_gamma 90.00
loop_
_atom_site_label
_atom_site_type_symbol
_atom_site_fract_x
_atom_site_fract_y
_atom_site_fract_z
_atom_site_occupancy
Sr1 Sr 0.000 0.000 0.000 1
Al1 Al 0.500 0.000 0.599 1
Al2 Al 0.500 0.500 0.305 1
Tc1 Tc 0.000 0.500 0.566 1
# - polymorph energy (0 for the lowest one) (kJ/mol of atoms) = 17.61
# - DFT total energy (eV per atom) = -4.8355
# - Fermi-level density of states (states/eV/f.u.) = 2.49
# - crystal system = orthorhombic
# - formation energy (eV/atom) = 0.0477

10.
# SrAl2Tc | Alexandria via LeMat-Bulk | GGA-PBE | optimized geometry
data_SrAl2Tc
_chemical_formula_sum 'Sr2 Al4 Tc2'
_symmetry_space_group_name_H-M 'I -4 m 2'
_symmetry_Int_Tables_number 119
_symmetry_space_group_name_Hall 'I -4 -2'
_cell_length_a 4.328
_cell_length_b 4.328
_cell_length_c 8.744
_cell_angle_alpha 90.00
_cell_angle_beta 90.00
_cell_angle_gamma 90.00
loop_
_atom_site_label
_atom_site_type_symbol
_atom_site_fract_x
_atom_site_fract_y
_atom_site_fract_z
_atom_site_occupancy
Sr1 Sr 0.000 0.000 0.000 1
Al1 Al 0.000 0.000 0.500 1
Al2 Al 0.000 0.500 0.250 1
Tc1 Tc 0.000 0.500 0.750 1
# - polymorph energy (0 for the lowest one) (kJ/mol of atoms) = 60.30
# - DFT total energy (eV per atom) = -4.3930
# - Fermi-level density of states (states/eV/f.u.) = 3.06
# - crystal system = tetragonal
# - formation energy (eV/atom) = 0.4902

11.
# SrAlTc3 | Alexandria via LeMat-Bulk | GGA-PBE | optimized geometry
data_SrAlTc3
_chemical_formula_sum 'Sr1 Al1 Tc3'
_symmetry_space_group_name_H-M 'P m -3 m'
_symmetry_Int_Tables_number 221
_symmetry_space_group_name_Hall '-P 4 2 3'
_cell_length_a 4.701
_cell_length_b 4.701
_cell_length_c 4.701
_cell_angle_alpha 90.00
_cell_angle_beta 90.00
_cell_angle_gamma 90.00
loop_
_atom_site_label
_atom_site_type_symbol
_atom_site_fract_x
_atom_site_fract_y
_atom_site_fract_z
_atom_site_occupancy
Sr1 Sr 0.000 0.000 0.000 1
Al1 Al 0.500 0.500 0.500 1
Tc1 Tc 0.000 0.500 0.500 1
# - polymorph energy (0 for the lowest one) (kJ/mol of atoms) = 0.00
# - DFT total energy (eV per atom) = -6.1464
# - Fermi-level density of states (states/eV/f.u.) = 7.07
# - crystal system = cubic
# - formation energy (eV/atom) = 1.1581

12.
# SrAl2Tc | Alexandria via LeMat-Bulk | GGA-PBE | optimized geometry
data_SrAl2Tc
_chemical_formula_sum 'Sr2 Al4 Tc2'
_symmetry_space_group_name_H-M 'I m m m'
_symmetry_Int_Tables_number 71
_symmetry_space_group_name_Hall '-I 2 2'
_cell_length_a 3.643
_cell_length_b 5.120
_cell_length_c 8.955
_cell_angle_alpha 90.00
_cell_angle_beta 90.00
_cell_angle_gamma 90.00
loop_
_atom_site_label
_atom_site_type_symbol
_atom_site_fract_x
_atom_site_fract_y
_atom_site_fract_z
_atom_site_occupancy
Sr1 Sr 0.000 0.000 0.000 1
Al1 Al 0.000 0.500 0.209 1
Tc1 Tc 0.000 0.000 0.500 1
# - polymorph energy (0 for the lowest one) (kJ/mol of atoms) = 34.79
# - DFT total energy (eV per atom) = -4.6574
# - Fermi-level density of states (states/eV/f.u.) = 2.41
# - crystal system = orthorhombic
# - formation energy (eV/atom) = 0.2258